VASP calculation (PBEsol) on a relaxed PtPb3Cl crystal.

Cell: 5.362 5.362 5.362 Å, 90.00 90.00 90.00°
Sites, in units of the cell vectors:
Pb 0.000 0.500 0.000
Pb 0.000 0.000 0.500
Pb 0.500 0.000 0.000
Pt 0.000 0.000 0.000
Cl 0.500 0.500 0.500

Properties
DOS(E_F)	2.30	states/eV/cell
crystal system	cubic
ρ	9.2	g/cm3
total moment	0.000	μB per atom
ΔE_f (raw)	0.2	eV/f.u.

VASP calculation (PBEsol) on a relaxed PtPbCl2 crystal.

Cell: 3.966 4.519 4.519 Å, 90.00 90.00 90.00°
Sites, in units of the cell vectors:
Pb 0.500 0.500 0.500
Pt 0.500 0.000 0.000
Cl 0.000 0.000 0.500
Cl 0.000 0.500 0.000

Properties
DOS(E_F)	1.99	states/eV/cell
crystal system	tetragonal
ρ	9.7	g/cm3
total moment	0.000	μB per atom
ΔE_f (raw)	0.3	eV/f.u.

VASP calculation (PBEsol) on a relaxed PtPbCl crystal.

Cell: 4.605 4.605 4.605 Å, 60.00 60.00 60.00°
Sites, in units of the cell vectors:
Pb 0.500 0.500 0.500
Pt 0.250 0.250 0.250
Cl 0.000 0.000 0.000

Properties
DOS(E_F)	1.50	states/eV/cell
crystal system	cubic
ρ	10.5	g/cm3
total moment	0.000	μB per atom
ΔE_f (raw)	-0.1	eV/f.u.

VASP calculation (PBEsol) on a relaxed PtPbCl2 crystal.

Cell: 4.494 4.527 5.257 Å, 112.63 112.41 96.14°
Sites, in units of the cell vectors:
Pb 0.500 0.000 0.000
Pt 0.000 0.500 0.000
Cl 0.000 0.000 0.500
Cl 0.500 0.500 0.500

Properties
DOS(E_F)	1.13	states/eV/cell
crystal system	monoclinic
ρ	9.0	g/cm3
total moment	0.000	μB per atom
ΔE_f (raw)	-0.3	eV/f.u.

VASP calculation (PBEsol) on a relaxed PtPbSCl2 crystal.

Cell: 4.838 4.751 4.751 Å, 90.00 90.00 90.00°
Sites, in units of the cell vectors:
Pb 0.500 0.500 0.500
S 0.500 0.000 0.000
Pt 0.000 0.000 0.000
Cl 0.000 0.000 0.500
Cl 0.000 0.500 0.000

Properties
DOS(E_F)	0.70	states/eV/cell
crystal system	tetragonal
ρ	7.7	g/cm3
total moment	0.000	μB per atom
ΔE_f (raw)	-1.4	eV/f.u.

VASP calculation (PBEsol) on a relaxed PtPbS2Cl crystal.

Cell: 5.024 5.086 5.086 Å, 90.00 90.00 90.00°
Last column: magnetic moment on the atom in μB.
Sites, in units of the cell vectors:
Pb 0.000 0.000 0.000  0.00
S 0.000 0.000 0.500  0.18
S 0.000 0.500 0.000  0.18
Pt 0.500 0.500 0.500  0.86
Cl 0.500 0.000 0.000  0.01

Properties
DOS(E_F)	6.71	states/eV/cell
crystal system	tetragonal
ρ	6.4	g/cm3
total moment	0.290	μB per atom
ΔE_f (raw)	5.4	eV/f.u.